Ge4Au2Br: optimized geometry, PBE.

Unit cell a=5.108 b=5.108 c=7.997 alpha=71.37 beta=71.37 gamma=90.00
Element x y z (fractional)
Ge (0.770, 0.770, 0.461)
Ge (0.230, 0.230, 0.539)
Ge (0.000, 0.500, 0.000)
Ge (0.500, 0.000, 0.000)
Au (0.599, 0.599, 0.802)
Au (0.401, 0.401, 0.198)
Br (0.000, 0.000, 0.000)

Results
Formation energy (no corrections)   52 kJ/mol of atoms
Theoretical density   6818 kg/m³
Space group   I4/mmm, No. 139
DOS at the Fermi energy   2.81 states/eV per cell
Raw total energy   -22.91 eV per formula unit